4
Lattice="-0.554 1.129 3.675 -1.991 -1.856 0.270 2.240 -5.044 1.887" Properties=species:S:1:pos:R:3 comment="Cr2MoAu PBE relaxed" e_above_lowest_polymorph_mev_per_atom=51 ef_ev_per_atom=0.2787 pbc="T T T"
Mo 0.097 -3.184 0.993
Cr -0.237 -1.065 2.344
Cr 0.037 -0.322 0.104
Au -0.078 -4.650 3.469

---

6
Lattice="0.319 -4.613 1.373 -3.338 -3.177 -1.426 1.132 -3.404 -3.225" Properties=species:S:1:pos:R:3 comment="Cr4MoAu PBE relaxed" ef_ev_per_atom=0.1458 pbc="T T T"
Cr -0.143 -5.899 -2.840
Cr -0.549 -6.503 -0.544
Cr -0.708 -4.200 -1.230
Cr -2.375 -5.786 -1.942
Au 0.000 0.000 0.000
Mo -1.416 -8.396 -2.458

---

5
Lattice="3.779 0.000 0.000 0.000 3.779 0.000 1.890 1.890 5.756" Properties=species:S:1:pos:R:3 comment="Cr2Mo2Au PBE relaxed" e_above_lowest_polymorph_mev_per_atom=221 ef_ev_per_atom=0.7253 pbc="T T T"
Cr 3.779 1.890 2.878
Cr 1.890 3.779 2.878
Mo 3.779 3.779 4.384
Mo 1.890 1.890 1.372
Au 0.000 0.000 0.000

---

10
Lattice="6.193 0.000 0.000 0.000 6.193 0.000 0.000 0.000 4.422" Properties=species:S:1:pos:R:3 comment="CrMo2Au2 PBE relaxed" e_above_lowest_polymorph_mev_per_atom=0 ef_ev_per_atom=0.6005 pbc="T T T"
Mo 5.303 3.987 0.000
Mo 3.987 0.891 0.000
Mo 2.206 5.303 0.000
Mo 0.891 2.206 0.000
Cr 0.000 0.000 0.000
Cr 3.097 3.097 0.000
Au 2.083 1.014 2.211
Au 5.180 2.083 2.211
Au 1.014 4.110 2.211
Au 4.110 5.180 2.211

---

4
Lattice="4.981 0.107 -0.021 -2.039 4.546 -0.021 0.012 0.018 2.885" Properties=species:S:1:pos:R:3 comment="CrMoAu2 PBE relaxed" e_above_lowest_polymorph_mev_per_atom=88 ef_ev_per_atom=0.3250 pbc="T T T"
Cr 2.496 0.062 1.432
Mo -1.014 2.282 1.432
Au 1.471 2.326 -0.021
Au 0.000 0.000 0.000

---

4
Lattice="-3.755 -1.839 2.595 -4.529 -1.919 -0.161 1.026 -4.863 -0.148" Properties=species:S:1:pos:R:3 comment="CrMoAu2 PBE relaxed" e_above_lowest_polymorph_mev_per_atom=60 ef_ev_per_atom=0.2970 pbc="T T T"
Mo -1.725 -2.157 0.547
Cr -3.694 -4.291 1.161
Au -8.239 -3.792 2.423
Au -5.511 -6.451 1.734

---

8
Lattice="3.727 0.000 0.000 0.000 3.727 0.000 1.864 1.864 9.763" Properties=species:S:1:pos:R:3 comment="CrMoAu2 PBE relaxed" e_above_lowest_polymorph_mev_per_atom=482 ef_ev_per_atom=0.7192 pbc="T T T"
Cr 1.864 3.727 4.881
Cr 1.864 1.864 0.000
Au 2.795 2.807 7.322
Au 2.784 0.932 2.441
Au 4.659 4.647 7.322
Au 0.943 2.795 2.441
Mo 0.000 0.000 0.000
Mo 3.727 1.864 4.881

---

4
Lattice="2.665 0.000 0.000 -0.831 2.532 0.000 0.000 0.000 8.596" Properties=species:S:1:pos:R:3 comment="Cr2MoAu PBE relaxed" e_above_lowest_polymorph_mev_per_atom=82 ef_ev_per_atom=0.3091 pbc="T T T"
Au 0.917 1.266 6.447
Mo 0.917 1.266 2.149
Cr 0.000 0.000 0.108
Cr 0.000 0.000 4.190

---

4
Lattice="0.000 3.234 3.234 3.234 0.000 3.234 3.234 3.234 0.000" Properties=species:S:1:pos:R:3 comment="CrMoAu2 PBE relaxed" e_above_lowest_polymorph_mev_per_atom=185 ef_ev_per_atom=0.4223 pbc="T T T"
Mo 3.234 3.234 3.234
Au 4.851 4.851 4.851
Au 1.617 1.617 1.617
Cr 0.000 0.000 0.000

---

4
Lattice="-6.459 -5.392 4.168 -4.304 -5.763 6.035 -6.044 -3.488 6.282" Properties=species:S:1:pos:R:3 comment="CrMoAu2 PBE relaxed" e_above_lowest_polymorph_mev_per_atom=87 ef_ev_per_atom=0.3235 pbc="T T T"
Au -4.114 -3.585 4.035
Au -0.043 -0.038 0.043
Mo -12.700 -11.065 12.456
Cr -8.353 -7.277 8.192

---

4
Lattice="5.018 -0.018 -0.003 4.203 2.742 -0.003 0.821 0.242 4.754" Properties=species:S:1:pos:R:3 comment="CrMoAu2 PBE relaxed" e_above_lowest_polymorph_mev_per_atom=134 ef_ev_per_atom=0.3711 pbc="T T T"
Cr 7.532 2.225 3.562
Mo 2.511 0.742 1.187
Au 9.213 2.722 -0.003
Au 5.029 1.486 2.372

---

4
Lattice="3.174 0.000 0.000 0.000 3.174 0.000 0.000 0.000 5.783" Properties=species:S:1:pos:R:3 comment="Cr2MoAu PBE relaxed" e_above_lowest_polymorph_mev_per_atom=64 ef_ev_per_atom=0.2917 pbc="T T T"
Mo 0.000 0.000 2.622
Cr 0.000 0.000 0.283
Cr 1.587 1.587 1.366
Au 1.587 1.587 4.403

---

Repeat the ninth record exactly.
4
Lattice="0.000 3.234 3.234 3.234 0.000 3.234 3.234 3.234 0.000" Properties=species:S:1:pos:R:3 comment="CrMoAu2 PBE relaxed" e_above_lowest_polymorph_mev_per_atom=185 ef_ev_per_atom=0.4223 pbc="T T T"
Mo 3.234 3.234 3.234
Au 4.851 4.851 4.851
Au 1.617 1.617 1.617
Cr 0.000 0.000 0.000